*w*
The following is a DFT calculation (PBE) of a relaxed LaFeAg crystal.

Values from the calculation:
Density of states at the Fermi level: 2.483 states/eV/atom

Unit cell a=4.9204 b=4.9204 c=4.9204 alpha=60.00 beta=60.00 gamma=60.00
With the nearest neighbours (Å) after each atom.
Sites, in units of the cell vectors:
1 Ag 0.0000 0.0000 0.0000  4 La 3.01
2 Fe 0.5000 0.5000 0.5000  4 La 3.01
3 La 0.7500 0.7500 0.7500  4 Ag 3.01, 4 Fe 3.01

***

*x*
The following is a DFT calculation (PBE) of a relaxed LaFeAg crystal.

Values from the calculation:
Density of states at the Fermi level: 1.895 states/eV/atom

Unit cell a=4.6537 b=4.6537 c=4.6537 alpha=60.00 beta=60.00 gamma=60.00
With the nearest neighbours (Å) after each atom.
Sites, in units of the cell vectors:
1 Ag 0.5000 0.5000 0.5000  4 Fe 2.85
2 La 0.0000 0.0000 0.0000  4 Fe 2.85
3 Fe 0.7500 0.7500 0.7500  4 Ag 2.85, 4 La 2.85

***

*y*
The following is a DFT calculation (PBE) of a relaxed LaFeAg crystal.

Values from the calculation:
Density of states at the Fermi level: 1.619 states/eV/atom

Unit cell a=4.5157 b=4.5157 c=3.9769 alpha=90.00 beta=90.00 gamma=120.00
With the nearest neighbours (Å) after each atom.
Sites, in units of the cell vectors:
1 Ag 0.0000 0.0000 0.1667  3 Fe 2.61
2 La 0.3333 0.6667 0.6667  6 Fe 3.28, 6 Ag 3.28
3 Fe 0.6667 0.3333 0.1666  3 Ag 2.61

***

*z*
The following is a DFT calculation (PBE) of a relaxed LaFeAg crystal.

Values from the calculation:
Density of states at the Fermi level: 1.351 states/eV/atom

Unit cell a=6.0047 b=6.0048 c=3.4692 alpha=73.21 beta=73.21 gamma=33.58
With the nearest neighbours (Å) after each atom.
Sites, in units of the cell vectors:
1 La 0.3248 0.3247 0.6752  5 Fe 3.15-3.50, 5 Ag 3.22-3.34, 4 La 3.47
2 Ag 0.0314 0.0314 0.9686  4 Fe 2.74-2.75
3 Fe 0.6438 0.6439 0.3562  4 Ag 2.74-2.75

***

Which one is most stable, and which one is least stable? *y* is the most stable of them, while *w* is the least stable.

***

*w*
The following is a DFT calculation (PBE) of a relaxed LaFe2Ag2 crystal.

Values from the calculation:
Density of states at the Fermi level: 1.114 states/eV/atom

Unit cell a=4.1492 b=4.1492 c=6.3931 alpha=71.06 beta=71.06 gamma=90.00
With the nearest neighbours (Å) after each atom.
Sites, in units of the cell vectors:
1 La 0.0000 0.0000 0.0000  8 Fe 3.14
2 Fe 0.4026 0.4026 0.1948  1 Fe 2.21
3 Fe 0.5974 0.5974 0.8052  1 Fe 2.21
4 Ag 0.7500 0.2500 0.5000  4 Fe 2.70, 4 Ag 2.93
5 Ag 0.2500 0.7500 0.5000  4 Fe 2.70, 4 Ag 2.93

***

*x*
The following is a DFT calculation (PBE) of a relaxed LaFe2Ag2 crystal.

Values from the calculation:
Density of states at the Fermi level: 0.954 states/eV/atom

Unit cell a=8.0165 b=8.0165 c=2.9140 alpha=90.00 beta=90.00 gamma=90.00
With the nearest neighbours (Å) after each atom.
Sites, in units of the cell vectors:
1 Ag 0.3767 0.8767 0.0000  6 Fe 2.75-2.80, 3 Ag 2.80-2.91
2 Ag 0.6233 0.1233 0.0000  6 Fe 2.75-2.80, 3 Ag 2.80-2.91
3 Ag 0.8767 0.6233 0.0000  6 Fe 2.75-2.80, 3 Ag 2.80-2.91
4 Ag 0.1233 0.3767 0.0000  6 Fe 2.75-2.80, 3 Ag 2.80-2.91
5 Fe 0.8288 0.3288 0.5000  6 Ag 2.75-2.80, 2 Fe 2.91
6 Fe 0.1712 0.6712 0.5000  6 Ag 2.75-2.80, 2 Fe 2.91
7 Fe 0.6712 0.8288 0.5000  6 Ag 2.75-2.80, 2 Fe 2.91
8 Fe 0.3288 0.1712 0.5000  6 Ag 2.75-2.80, 2 Fe 2.91
9 La 0.5000 0.5000 0.0000  2 La 2.91, 4 Ag 3.18
10 La 0.0000 0.0000 0.0000  2 La 2.91, 4 Ag 3.18

***

Which one is most stable, and which one is least stable? *w* is the most stable of them, while *x* is the least stable.

***

*w*
The following is a DFT calculation (PBE) of a relaxed La2FeAg2 crystal.

Values from the calculation:
Density of states at the Fermi level: 1.806 states/eV/atom

Unit cell a=7.3039 b=7.3039 c=4.5867 alpha=90.00 beta=90.00 gamma=90.00
With the nearest neighbours (Å) after each atom.
Sites, in units of the cell vectors:
1 La 0.3185 0.1815 0.5000  6 Ag 2.98-3.27
2 La 0.8185 0.3185 0.5000  6 Ag 2.98-3.27
3 La 0.6815 0.8185 0.5000  6 Ag 2.98-3.27
4 La 0.1815 0.6815 0.5000  6 Ag 2.98-3.27
5 Ag 0.3661 0.8661 0.0000  1 Ag 2.77, 2 Fe 2.85, 2 La 2.98
6 Ag 0.6339 0.1339 0.0000  1 Ag 2.77, 2 Fe 2.85, 2 La 2.98
7 Ag 0.1339 0.3661 0.0000  1 Ag 2.77, 2 Fe 2.85, 2 La 2.98
8 Ag 0.8661 0.6339 0.0000  1 Ag 2.77, 2 Fe 2.85, 2 La 2.98
9 Fe 0.0000 0.0000 0.0000  4 Ag 2.85
10 Fe 0.5000 0.5000 0.0000  4 Ag 2.85

***

*x*
The following is a DFT calculation (PBE) of a relaxed La2FeAg2 crystal.

Values from the calculation:
Density of states at the Fermi level: 1.138 states/eV/atom

Unit cell a=5.8682 b=5.8682 c=5.6856 alpha=58.93 beta=58.93 gamma=90.00
With the nearest neighbours (Å) after each atom.
Sites, in units of the cell vectors:
1 La 0.2500 0.7500 0.5000  4 Ag 3.01
2 La 0.7500 0.2500 0.5000  4 Ag 3.01
3 Ag 0.3339 0.3339 0.3322  1 Ag 2.58, 1 Fe 2.60
4 Ag 0.6661 0.6661 0.6678  1 Ag 2.58, 1 Fe 2.60
5 Fe 0.0000 0.0000 0.0000  2 Ag 2.60

***

Which one is most stable, and which one is least stable? *w* is the most stable of them, while *x* is the least stable.

***

*w*
The following is a DFT calculation (PBE) of a relaxed LaFeAg3 crystal.

Values from the calculation:
Density of states at the Fermi level: 1.162 states/eV/atom

Unit cell a=4.9259 b=4.9259 c=4.9259 alpha=90.00 beta=90.00 gamma=90.00
With the nearest neighbours (Å) after each atom.
Sites, in units of the cell vectors:
1 La 0.5000 0.5000 0.5000  12 Ag 3.48
2 Ag 0.0000 0.5000 0.0000  2 Fe 2.46
3 Ag 0.0000 0.0000 0.5000  2 Fe 2.46
4 Ag 0.5000 0.0000 0.0000  2 Fe 2.46
5 Fe 0.0000 0.0000 0.0000  6 Ag 2.46

***

*x*
The following is a DFT calculation (PBE) of a relaxed LaFeAg3 crystal.

Values from the calculation:
Density of states at the Fermi level: 2.897 states/eV/atom

Unit cell a=5.5681 b=5.5681 c=5.5681 alpha=90.00 beta=90.00 gamma=90.00
With the nearest neighbours (Å) after each atom.
Sites, in units of the cell vectors:
1 La 0.0000 0.0000 0.0000  6 Ag 2.78
2 Ag 0.0000 0.5000 0.0000  2 La 2.78
3 Ag 0.5000 0.0000 0.0000  2 La 2.78
4 Ag 0.0000 0.0000 0.5000  2 La 2.78
5 Fe 0.5000 0.5000 0.5000  12 Ag 3.94

***

Which one is most stable, and which one is least stable? *w* is the most stable of them, while *x* is the least stable.

***

*w*
The following is a DFT calculation (PBE) of a relaxed La2FeAgW crystal.

Values from the calculation:
Density of states at the Fermi level: 1.223 states/eV/atom

Unit cell a=5.6459 b=4.4844 c=5.6459 alpha=90.00 beta=90.00 gamma=90.00
With the nearest neighbours (Å) after each atom.
Sites, in units of the cell vectors:
1 La 0.0000 0.0000 0.5000  2 W 2.82
2 La 0.5000 0.0000 0.0000  2 W 2.82
3 W 0.0000 0.0000 0.0000  2 Fe 2.24
4 Fe 0.0000 0.5000 0.0000  2 W 2.24
5 Ag 0.5000 0.5000 0.5000  8 La 3.61, 4 Fe 3.99

***

*x*
The following is a DFT calculation (PBE) of a relaxed La2FeAgW crystal.

Values from the calculation:
Density of states at the Fermi level: 1.807 states/eV/atom

Unit cell a=5.6508 b=4.6937 c=5.6508 alpha=90.00 beta=90.00 gamma=90.00
With the nearest neighbours (Å) after each atom.
Sites, in units of the cell vectors:
1 Fe 0.0000 0.5000 0.0000  2 Ag 2.35
2 Ag 0.0000 0.0000 0.0000  2 Fe 2.35
3 La 0.0000 0.0000 0.5000  2 Ag 2.83
4 La 0.5000 0.0000 0.0000  2 Ag 2.83
5 W 0.5000 0.5000 0.5000  8 La 3.67, 4 Fe 4.00

***

Which one is most stable, and which one is least stable? *w* is the most stable of them, while *x* is the least stable.

***

*w*
The following is a DFT calculation (PBE) of a relaxed LiFeAg crystal.

Values from the calculation:
Density of states at the Fermi level: 0.807 states/eV/atom

Unit cell a=2.7275 b=2.7275 c=6.9529 alpha=90.00 beta=90.00 gamma=120.00
With the nearest neighbours (Å) after each atom.
Sites, in units of the cell vectors:
1 Fe 0.3333 0.6667 0.3394  6 Fe 2.73, 3 Li 2.73, 3 Ag 2.84
2 Ag 0.0000 0.0000 0.9998  6 Ag 2.73, 3 Li 2.83, 3 Fe 2.84
3 Li 0.6667 0.3333 0.6608  6 Li 2.73, 3 Fe 2.73, 3 Ag 2.83

***

*x*
The following is a DFT calculation (PBE) of a relaxed LiFeAg crystal.

Values from the calculation:
Density of states at the Fermi level: 0.729 states/eV/atom

Unit cell a=6.4285 b=6.4285 c=6.4285 alpha=155.79 beta=155.79 gamma=34.51
With the nearest neighbours (Å) after each atom.
Sites, in units of the cell vectors:
1 Ag 0.9997 0.9997 0.0000  4 Ag 2.70, 4 Fe 2.82, 4 Li 2.82
2 Fe 0.3308 0.3308 0.0000  4 Fe 2.70, 4 Li 2.75, 4 Ag 2.82
3 Li 0.6695 0.6695 0.0000  4 Li 2.70, 4 Fe 2.75, 4 Ag 2.82

***

Which one is most stable, and which one is least stable? *w* is the most stable of them, while *x* is the least stable.

***

*w*
The following is a DFT calculation (PBE) of a relaxed LiFeAg crystal.

Values from the calculation:
Density of states at the Fermi level: 0.661 states/eV/atom

Unit cell a=7.2392 b=7.0312 c=2.6819 alpha=83.57 beta=74.83 gamma=21.60
With the nearest neighbours (Å) after each atom.
Sites, in units of the cell vectors:
1 Ag 0.0007 0.0007 0.9993  6 Ag 2.68-2.91, 2 Li 2.73, 2 Fe 2.76
2 Fe 0.3302 0.3302 0.6698  2 Li 2.65, 6 Fe 2.68-2.91, 2 Ag 2.76
3 Li 0.6691 0.6691 0.3309  2 Fe 2.65, 6 Li 2.68-2.91, 2 Ag 2.73

***

*x*
The following is a DFT calculation (PBE) of a relaxed LiFeAg crystal.

Values from the calculation:
Density of states at the Fermi level: 1.759 states/eV/atom

Unit cell a=4.2643 b=4.2643 c=4.2643 alpha=60.00 beta=60.00 gamma=60.00
With the nearest neighbours (Å) after each atom.
Sites, in units of the cell vectors:
1 Li 0.5000 0.5000 0.5000  4 Ag 2.61
2 Fe 0.0000 0.0000 0.0000  4 Ag 2.61
3 Ag 0.7500 0.7500 0.7500  4 Fe 2.61, 4 Li 2.61

***

*y*
The following is a DFT calculation (PBE) of a relaxed LiFeAg crystal.

Values from the calculation:
Density of states at the Fermi level: 0.639 states/eV/atom

Unit cell a=4.7370 b=4.7370 c=4.7370 alpha=147.27 beta=128.83 gamma=62.08
With the nearest neighbours (Å) after each atom.
Sites, in units of the cell vectors:
1 Ag 0.9986 0.9986 0.0000  2 Ag 2.67, 5 Li 2.70-2.80, 5 Fe 2.73-2.78
2 Li 0.6661 0.6661 0.0000  2 Li 2.67, 5 Fe 2.68-2.80, 5 Ag 2.70-2.80
3 Fe 0.3354 0.3354 0.0000  2 Fe 2.67, 5 Li 2.68-2.80, 5 Ag 2.73-2.78

***

Which one is most stable, and which one is least stable? *w* is the most stable of them, while *x* is the least stable.

***

*w*
The following is a DFT calculation (PBE) of a relaxed Li2FeAgPt crystal.

Values from the calculation:
Density of states at the Fermi level: 0.681 states/eV/atom

Unit cell a=4.3095 b=4.8905 c=4.3095 alpha=90.00 beta=90.00 gamma=90.00
With the nearest neighbours (Å) after each atom.
Sites, in units of the cell vectors:
1 Li 0.5000 0.0000 0.0000  2 Ag 2.15
2 Li 0.0000 0.0000 0.5000  2 Ag 2.15
3 Ag 0.0000 0.0000 0.0000  4 Li 2.15
4 Fe 0.0000 0.5000 0.0000  2 Ag 2.45
5 Pt 0.5000 0.5000 0.5000  4 Fe 3.05, 8 Li 3.26

***

*x*
The following is a DFT calculation (PBE) of a relaxed Li2FeAgPt crystal.

Values from the calculation:
Density of states at the Fermi level: 1.720 states/eV/atom

Unit cell a=4.4882 b=5.1843 c=4.4882 alpha=90.00 beta=90.00 gamma=90.00
With the nearest neighbours (Å) after each atom.
Sites, in units of the cell vectors:
1 Li 0.5000 0.0000 0.0000  2 Pt 2.24
2 Li 0.0000 0.0000 0.5000  2 Pt 2.24
3 Fe 0.5000 0.5000 0.5000  4 Ag 3.17, 8 Li 3.43
4 Pt 0.0000 0.0000 0.0000  4 Li 2.24
5 Ag 0.0000 0.5000 0.0000  2 Pt 2.59

***

Which one is most stable, and which one is least stable? *x* is the most stable of them, while *w* is the least stable.